[1]
This record from the Alexandria database describes Ce5TcCl5 after structural relaxation. The functional is PBE-GGA.

The structure in POSCAR format:
```
Ce5TcCl5
1.0
6.332 -2.860 0.000
6.332 2.860 0.000
-2.819 0.000 7.786
Ce Tc Cl
5 1 5
direct
0.000 0.000 0.000 Ce
0.326 0.326 0.148 Ce
0.346 0.346 0.694 Ce
0.654 0.654 0.306 Ce
0.674 0.674 0.852 Ce
0.500 0.500 0.000 Tc
0.153 0.153 0.802 Cl
0.162 0.162 0.351 Cl
0.500 0.500 0.500 Cl
0.838 0.838 0.649 Cl
0.847 0.847 0.198 Cl
```

Summary:
As for the symmetry: C2/m, No. 12. For the uncorrected formation energy, the calculation gives -1.308 eV/atom.

***

[2]
This record from the Alexandria database describes CaTbAl6 after structural relaxation. The functional is PBE-GGA.

The structure in POSCAR format:
```
CaTbAl6
1.0
4.474 0.000 0.000
0.000 6.016 0.000
0.000 0.000 6.073
Ca Tb Al
1 1 6
direct
0.000 0.000 0.000 Ca
0.500 0.500 0.217 Tb
0.000 0.250 0.470 Al
0.000 0.500 0.858 Al
0.000 0.750 0.470 Al
0.500 0.000 0.367 Al
0.500 0.259 0.744 Al
0.500 0.741 0.744 Al
```

Summary:
As for the symmetry: Pmm2, No. 25. As for the calculated formation energy: -0.291 eV/atom.

***

[3]
This record from the Alexandria database describes CeErBe after structural relaxation. The functional is PBE-GGA.

The structure in POSCAR format:
```
CeErBe
1.0
-1.696 1.696 6.055
1.696 -1.696 6.055
1.696 1.696 -6.055
Ce Er Be
1 1 1
direct
0.000 0.000 0.000 Ce
0.276 0.276 0.000 Er
0.644 0.644 0.000 Be
```

Summary:
As for the symmetry: I4mm, No. 107. As for the calculated formation energy: 0.152 eV/atom.

***

[4]
This record from the Alexandria database describes Sc6CoHPb2 after structural relaxation. The functional is PBE-GGA.

The structure in POSCAR format:
```
Sc6CoHPb2
1.0
0.000 4.690 4.698
4.687 0.000 4.698
4.687 4.690 0.000
Sc Co H Pb
6 1 1 2
direct
0.248 0.248 0.752 Sc
0.248 0.752 0.248 Sc
0.248 0.752 0.752 Sc
0.752 0.248 0.248 Sc
0.752 0.248 0.752 Sc
0.752 0.752 0.248 Sc
0.500 0.500 0.500 Co
0.000 0.000 0.000 H
0.250 0.250 0.250 Pb
0.750 0.750 0.750 Pb
```

Summary:
The uncorrected energy is -59.33 eV for the cell shown. As for the symmetry: Fmmm, No. 69.

***

[5]
This record from the Alexandria database describes TiB2W after structural relaxation. The functional is PBE-GGA.

The structure in POSCAR format:
```
TiB2W
1.0
3.095 0.000 0.000
0.000 4.521 0.000
0.000 0.000 5.942
Ti B W
2 4 2
direct
0.000 0.130 0.000 Ti
0.000 0.870 0.500 Ti
0.000 0.350 0.359 B
0.000 0.650 0.859 B
0.500 0.141 0.294 B
0.500 0.859 0.794 B
0.500 0.374 0.652 W
0.500 0.626 0.152 W
```

Summary:
The energy above the most stable polymorph in this dataset comes out at 6.2 meV/atom. As for the symmetry: Pmc2_1, No. 26. As for the calculated formation energy: -0.779 eV/atom.

***

[6]
This record from the Alexandria database describes YBePt2Pb after structural relaxation. The functional is PBE-GGA.

The structure in POSCAR format:
```
YBePt2Pb
1.0
4.483 0.000 0.000
0.000 4.483 0.000
0.000 0.000 4.813
Y Be Pt Pb
1 1 2 1
direct
0.000 0.000 0.000 Y
0.500 0.500 0.500 Be
0.000 0.500 0.500 Pt
0.500 0.000 0.500 Pt
0.500 0.500 0.000 Pb
```

Summary:
As for the symmetry: P4/mmm, No. 123. As for the calculated formation energy: -0.356 eV/atom.

***

[7]
This record from the Alexandria database describes CsSrP after structural relaxation. The functional is PBE-GGA.

The structure in POSCAR format:
```
CsSrP
1.0
4.954 0.000 0.000
-2.477 4.290 0.000
0.000 0.000 6.608
Cs Sr P
1 1 1
direct
0.000 0.000 0.000 Cs
0.667 0.333 0.545 Sr
0.333 0.667 0.659 P
```

Summary:
As for the symmetry: P3m1, No. 156. As for the calculated formation energy: -0.513 eV/atom.

***

[8]
This record from the Alexandria database describes Zr5Pb after structural relaxation. The functional is PBE-GGA.

The structure in POSCAR format:
```
Zr5Pb
1.0
5.886 -1.605 0.000
5.886 1.605 0.000
-2.041 0.000 7.474
Zr Pb
5 1
direct
0.000 0.000 0.000 Zr
0.043 0.043 0.623 Zr
0.317 0.317 0.654 Zr
0.382 0.382 0.287 Zr
0.650 0.650 0.335 Zr
0.724 0.724 0.954 Pb
```

Summary:
As for the symmetry: Cm, No. 8. As for the calculated formation energy: -0.043 eV/atom.

***

[9]
This record from the Alexandria database describes Ba4SeI2N after structural relaxation. The functional is PBE-GGA.

The structure in POSCAR format:
```
Ba4SeI2N
1.0
7.966 0.000 0.000
0.000 4.494 0.000
-2.562 0.000 8.298
Ba Se I N
4 1 2 1
direct
0.203 0.000 0.186 Ba
0.230 0.500 0.807 Ba
0.770 0.500 0.193 Ba
0.797 0.000 0.814 Ba
0.500 0.000 0.000 Se
0.000 0.000 0.500 I
0.500 0.500 0.500 I
0.000 0.500 0.000 N
```

Summary:
As for the symmetry: P2/m, No. 10. For the uncorrected formation energy, the calculation gives -1.331 eV/atom.

***

[10]
This record from the Alexandria database describes Mg2CdAs after structural relaxation. The functional is PBE-GGA.

The structure in POSCAR format:
```
Mg2CdAs
1.0
0.000 3.529 3.529
3.529 0.000 3.529
3.529 3.529 0.000
Mg Cd As
2 1 1
direct
0.000 0.000 0.000 Mg
0.250 0.250 0.250 Mg
0.500 0.500 0.500 Cd
0.750 0.750 0.750 As
```

Summary:
The energy above the most stable polymorph in this dataset comes out at 267.7 meV/atom. As for the symmetry: F-43m, No. 216. As for the calculated formation energy: 0.037 eV/atom.

***

[11]
This record from the Alexandria database describes PmDy4Tc after structural relaxation. The functional is PBE-GGA.

The structure in POSCAR format:
```
PmDy4Tc
1.0
4.680 -6.388 0.000
4.680 6.388 0.000
-1.921 0.000 5.928
Pm Dy Tc
2 8 2
direct
0.108 0.892 0.750 Pm
0.892 0.108 0.250 Pm
0.147 0.333 0.875 Dy
0.230 0.564 0.449 Dy
0.333 0.147 0.375 Dy
0.436 0.770 0.051 Dy
0.564 0.230 0.949 Dy
0.667 0.853 0.625 Dy
0.770 0.436 0.551 Dy
0.853 0.667 0.125 Dy
0.497 0.503 0.250 Tc
0.503 0.497 0.750 Tc
```

Summary:
As for the symmetry: C2/c, No. 15. As for the calculated formation energy: 0.004 eV/atom.

***

[12]
This record from the Alexandria database describes PuGa2Rh after structural relaxation. The functional is PBE-GGA.

The structure in POSCAR format:
```
PuGa2Rh
1.0
3.110 0.000 0.000
0.000 3.110 0.000
0.000 0.000 7.297
Pu Ga Rh
1 2 1
direct
0.000 0.000 0.000 Pu
0.500 0.500 0.300 Ga
0.500 0.500 0.700 Ga
0.000 0.000 0.500 Rh
```

Summary:
The energy above the most stable polymorph in this dataset comes out at 64.4 meV/atom. As for the symmetry: P4/mmm, No. 123. As for the calculated formation energy: -0.512 eV/atom.

***

Number 1: calculated volume 25.63 Å³/atom. Number 2: calculated volume 20.43 Å³/atom. Number 3: calculated volume 23.22 Å³/atom. Number 4: calculated volume 20.66 Å³/atom. Number 5: calculated volume 10.39 Å³/atom. Number 6: calculated volume 19.35 Å³/atom. Number 7: calculated volume 46.81 Å³/atom. Number 8: calculated volume 23.54 Å³/atom. Number 9: calculated volume 37.13 Å³/atom. Number 10: calculated volume 21.97 Å³/atom. Number 11: calculated volume 29.54 Å³/atom. Number 12: calculated volume 17.64 Å³/atom.